[1]
First-principles (PBE-GGA) data for a relaxed structure of CoIr4Rh2, as listed in Alexandria.

Output
DOS at the Fermi energy in states/eV/cell: 9.3
Magnetization in μB/cell: 1.43
Energy of formation in eV per atom: 0.08

Lattice parameters (Å, degrees): 13.5458 13.5458 2.7144 90.00 90.00 168.49
Last column: nearest neighbours and their distance in Å.
Positions (direct):
1 Co 0.0000 0.0000 0.0000  8 Ir 2.62, 4 Co 2.71-2.72
2 Ir 0.1376 0.8624 0.0000  4 Rh 2.70, 8 Ir 2.71-2.72
3 Ir 0.4341 0.5659 0.5000  4 Co 2.62, 8 Ir 2.71-2.72
4 Ir 0.5659 0.4341 0.5000  4 Co 2.62, 8 Ir 2.71-2.72
5 Ir 0.8624 0.1376 0.0000  4 Rh 2.70, 8 Ir 2.71-2.72
6 Rh 0.2921 0.7079 0.5000  6 Rh 2.64-2.72, 4 Ir 2.70
7 Rh 0.7079 0.2921 0.5000  6 Rh 2.64-2.72, 4 Ir 2.70

[2]
First-principles (PBE-GGA) data for a relaxed structure of TlPd2SeS, as listed in Alexandria.

Output
DOS at the Fermi energy in states/eV/cell: 3.4
Magnetization in μB/cell: 0.00
Formation energy (no corrections) in eV/atom: 0.054

Lattice parameters (Å, degrees): 4.5771 4.5771 5.2928 90.00 90.00 90.00
Last column: nearest neighbours and their distance in Å.
Positions (direct):
1 Tl 0.0000 0.0000 0.0000  4 Se 3.24, 8 Pd 3.50
2 Pd 0.0000 0.5000 0.5000  2 S 2.29
3 Pd 0.5000 0.0000 0.5000  2 S 2.29
4 Se 0.5000 0.5000 0.0000  2 S 2.65
5 S 0.5000 0.5000 0.5000  4 Pd 2.29

- Which value of magnetization does entry 1 give?
  1.43 μB/cell

- Which formula does entry 1 have?
  CoIr4Rh2

- What is the formula in the second record?
  TlPd2SeS

- Which value of magnetization does entry 2 give?
  0.00 μB/cell